MnBiF2 | Alexandria | GGA+U | optimized geometry; density of states at the Fermi level = 0.2840 states/eV per atom; energy above the most stable polymorph in this dataset = 0.000 eV per atom; size of the total moment = 14.96 μB per cell; space-group type = No. 166
1.0
3.338 0.000 0.000
-1.669 2.891 0.000
0.000 0.000 27.283
Mn Bi F
3 3 6
direct
0.000 0.000 0.000
0.333 0.667 0.667
0.667 0.333 0.333
0.000 0.000 0.500
0.333 0.667 0.167
0.667 0.333 0.833
0.000 0.000 0.369
0.000 0.000 0.631
0.333 0.667 0.036
0.333 0.667 0.298
0.667 0.333 0.702
0.667 0.333 0.964